An optimized crystal structure of Tl2PbAu2. Source: the Alexandria database, functional GGA-PBE.

POSCAR file:
```
Tl2PbAu2
1.0
-2.2435 2.2435 6.6315
2.2435 -2.2435 6.6315
2.2435 2.2435 -6.6315
Tl Pb Au
2 1 2
Cartesian
2.2435 0.0000 3.3157
0.0000 2.2435 3.3157
0.0000 0.0000 0.0000
0.0000 0.0000 5.2877
0.0000 0.0000 7.9753
```

Results
Electronic total energy: -2.9239 eV per atom
Energy above the lowest structure with this stoichiometry: 50.6 kJ/mol of formula units
Calculated density: 12560 kg/m³
Crystal system: tetragonal